Record 1
# ZrCdCu2

An optimized crystal structure of ZrCdCu2 (PBE, the Alexandria database).

The space group is P4mm (No. 99) and the conventional cell measures 3.133, 3.133 and 6.907 Å, with angles of 90.00, 90.00 and 90.00 degrees. The asymmetric unit holds Zr at (0.000, 0.000, 0.000), Cd at (0.500, 0.500, 0.326), Cu at (0.000, 0.000, 0.572) and Cu at (0.500, 0.500, 0.749).

The calculated formation energy comes out at -29 meV per atom. The calculation puts the total energy at -0.1633 hartree per atom.


Record 2
# Zr2CdCu

An optimized crystal structure of Zr2CdCu (PBE, the Alexandria database).

The space group is I-42d (No. 122) and the conventional cell measures 7.773, 7.773 and 5.518 Å, with angles of 90.00, 90.00 and 90.00 degrees. The asymmetric unit holds Zr at (0.214, 0.750, 0.125), Cd at (0.000, 0.000, 0.500) and Cu at (0.000, 0.000, 0.000).

The calculated formation energy comes out at 238 meV per atom. The calculation puts the total energy at -0.1944 hartree per atom.